Below is an optimized crystal structure of In2IBr, with properties calculated at the GGA-PBE level.

Computed properties:
N(E_F): 0.00 states/eV per cell
Total energy: -10.7 eV per formula unit

Unit cell a=8.234 b=8.234 c=8.234 alpha=90.00 beta=90.00 gamma=90.00
Space group Fm-3m (No. 225)
Unique sites:
1 In 0.250 0.250 0.250 [8 per cell]
2 I 0.000 0.000 0.000 [4 per cell]
3 Br 0.000 0.000 0.500 [4 per cell]